! KCr2W | the Alexandria database | meta-GGA SCAN | PBEsol geometry; values from VASP
&SYSTEM
  ibrav = 0, nat = 4, ntyp = 3
/
ATOMIC_SPECIES
K 39.10 K.upf
Cr 52.00 Cr.upf
W 183.84 W.upf
CELL_PARAMETERS angstrom
5.0732 0.0000 0.0000
0.0000 5.0732 0.0000
0.0000 0.0000 2.8059
ATOMIC_POSITIONS crystal
K 0.0000 0.0000 0.0000
Cr 0.0000 0.5000 0.5000
Cr 0.5000 0.0000 0.5000
W 0.5000 0.5000 0.0000
! Energy above the most stable polymorph in this dataset ... 1.44 eV per formula unit
! Crystal system ... tetragonal
! SG ... P4/mmm (123)
! Energy of formation ... 1.2246 eV per atom

! KCrW2 | the Alexandria database | meta-GGA SCAN | PBEsol geometry; values from VASP
&SYSTEM
  ibrav = 0, nat = 8, ntyp = 3
/
ATOMIC_SPECIES
K 39.10 K.upf
Cr 52.00 Cr.upf
W 183.84 W.upf
CELL_PARAMETERS angstrom
3.0808 0.0000 0.0000
0.0000 4.5045 0.0000
0.0000 0.0000 10.2193
ATOMIC_POSITIONS crystal
K 0.0000 0.0000 0.0000
K 0.5000 0.5000 0.0000
Cr 0.0000 0.5000 0.7094
Cr 0.5000 0.0000 0.7094
W 0.0000 0.0000 0.5205
W 0.0000 0.5000 0.3029
W 0.5000 0.0000 0.3029
W 0.5000 0.5000 0.5205
! Energy above the most stable polymorph in this dataset ... 0.19 eV per formula unit
! Crystal system ... orthorhombic
! SG ... Cmm2 (35)
! Energy of formation ... 0.9371 eV per atom

! K2CrW | the Alexandria database | meta-GGA SCAN | PBEsol geometry; values from VASP
&SYSTEM
  ibrav = 0, nat = 4, ntyp = 3
/
ATOMIC_SPECIES
K 39.10 K.upf
Cr 52.00 Cr.upf
W 183.84 W.upf
CELL_PARAMETERS angstrom
2.8278 0.0000 0.0000
0.0000 2.8278 0.0000
0.0000 0.0000 11.7265
ATOMIC_POSITIONS crystal
K 0.0000 0.0000 0.2430
K 0.0000 0.0000 0.7570
Cr 0.5000 0.5000 0.5000
W 0.5000 0.5000 0.0000
! Energy above the most stable polymorph in this dataset ... 0.00 eV per formula unit
! Crystal system ... tetragonal
! SG ... P4/mmm (123)
! Energy of formation ... 1.5292 eV per atom

! KCrW2 | the Alexandria database | meta-GGA SCAN | PBEsol geometry; values from VASP
&SYSTEM
  ibrav = 0, nat = 12, ntyp = 3
/
ATOMIC_SPECIES
K 39.10 K.upf
Cr 52.00 Cr.upf
W 183.84 W.upf
CELL_PARAMETERS angstrom
2.8620 0.0000 0.0000
-1.4310 2.4785 0.0000
0.0000 0.0000 30.1213
ATOMIC_POSITIONS crystal
K 0.0000 0.0000 0.0000
K 0.3333 0.6667 0.6667
K 0.6667 0.3333 0.3333
Cr 0.0000 0.0000 0.5000
Cr 0.3333 0.6667 0.1667
Cr 0.6667 0.3333 0.8333
W 0.0000 0.0000 0.2306
W 0.0000 0.0000 0.7694
W 0.3333 0.6667 0.4361
W 0.3333 0.6667 0.8973
W 0.6667 0.3333 0.1027
W 0.6667 0.3333 0.5639
! Energy above the most stable polymorph in this dataset ... 0.68 eV per formula unit
! Crystal system ... trigonal
! SG ... R-3m (166)
! Energy of formation ... 1.0583 eV per atom

! K4YCr | the Alexandria database | meta-GGA SCAN | PBEsol geometry; values from VASP
&SYSTEM
  ibrav = 0, nat = 6, ntyp = 3
/
ATOMIC_SPECIES
K 39.10 K.upf
Y 88.91 Y.upf
Cr 52.00 Cr.upf
CELL_PARAMETERS angstrom
0.0000 5.1040 5.1040
5.1040 0.0000 5.1040
5.1040 5.1040 0.0000
ATOMIC_POSITIONS crystal
K 0.1238 0.1238 0.1238
K 0.1238 0.1238 0.6287
K 0.1238 0.6287 0.1238
K 0.6287 0.1238 0.1238
Y 0.5000 0.5000 0.5000
Cr 0.7500 0.7500 0.7500
! Crystal system ... cubic
! SG ... F-43m (216)
! Energy of formation ... 0.8354 eV per atom

! KYCr2 | the Alexandria database | meta-GGA SCAN | PBEsol geometry; values from VASP
&SYSTEM
  ibrav = 0, nat = 4, ntyp = 3
/
ATOMIC_SPECIES
K 39.10 K.upf
Y 88.91 Y.upf
Cr 52.00 Cr.upf
CELL_PARAMETERS angstrom
3.1637 0.0000 0.0000
0.0000 3.1637 0.0000
0.0000 0.0000 9.4659
ATOMIC_POSITIONS crystal
K 0.0000 0.0000 0.0000
Y 0.5000 0.5000 0.3899
Cr 0.0000 0.0000 0.6056
Cr 0.5000 0.5000 0.7046
! Energy above the most stable polymorph in this dataset ... 0.00 eV per formula unit
! Crystal system ... tetragonal
! SG ... P4mm (99)
! Energy of formation ... 0.4791 eV per atom

! KYCr2 | the Alexandria database | meta-GGA SCAN | PBEsol geometry; values from VASP
&SYSTEM
  ibrav = 0, nat = 4, ntyp = 3
/
ATOMIC_SPECIES
K 39.10 K.upf
Y 88.91 Y.upf
Cr 52.00 Cr.upf
CELL_PARAMETERS angstrom
3.5315 0.0000 0.0000
0.0000 3.5315 0.0000
0.0000 0.0000 8.6790
ATOMIC_POSITIONS crystal
K 0.0000 0.0000 0.0000
Y 0.0000 0.0000 0.5000
Cr 0.5000 0.5000 0.3042
Cr 0.5000 0.5000 0.6958
! Energy above the most stable polymorph in this dataset ... 0.40 eV per formula unit
! Crystal system ... tetragonal
! SG ... P4/mmm (123)
! Energy of formation ... 0.5786 eV per atom

! KZnCr2 | the Alexandria database | meta-GGA SCAN | PBEsol geometry; values from VASP
&SYSTEM
  ibrav = 0, nat = 4, ntyp = 3
/
ATOMIC_SPECIES
K 39.10 K.upf
Zn 65.41 Zn.upf
Cr 52.00 Cr.upf
CELL_PARAMETERS angstrom
4.4663 0.0000 0.0000
0.0000 4.4663 0.0000
0.0000 0.0000 4.3196
ATOMIC_POSITIONS crystal
K 0.0000 0.0000 0.0000
Zn 0.5000 0.5000 0.0000
Cr 0.0000 0.5000 0.5000
Cr 0.5000 0.0000 0.5000
! Crystal system ... tetragonal
! SG ... P4/mmm (123)
! Energy of formation ... 0.9043 eV per atom

! K2ZnCr | the Alexandria database | meta-GGA SCAN | PBEsol geometry; values from VASP
&SYSTEM
  ibrav = 0, nat = 8, ntyp = 3
/
ATOMIC_SPECIES
K 39.10 K.upf
Zn 65.41 Zn.upf
Cr 52.00 Cr.upf
CELL_PARAMETERS angstrom
4.5596 0.0000 0.0000
0.0000 5.1045 0.0000
0.0000 0.0000 12.4900
ATOMIC_POSITIONS crystal
K 0.0000 0.0000 0.0000
K 0.0000 0.5000 0.5000
K 0.5000 0.0000 0.2992
K 0.5000 0.5000 0.7992
Zn 0.0000 0.0000 0.7014
Zn 0.0000 0.5000 0.2014
Cr 0.5000 0.0000 0.6035
Cr 0.5000 0.5000 0.1035
! Crystal system ... orthorhombic
! SG ... Amm2 (38)
! Energy of formation ... 0.4206 eV per atom

! K4ZnCr | the Alexandria database | meta-GGA SCAN | PBEsol geometry; values from VASP
&SYSTEM
  ibrav = 0, nat = 6, ntyp = 3
/
ATOMIC_SPECIES
K 39.10 K.upf
Zn 65.41 Zn.upf
Cr 52.00 Cr.upf
CELL_PARAMETERS angstrom
0.0000 5.1743 5.1743
5.1743 0.0000 5.1743
5.1743 5.1743 0.0000
ATOMIC_POSITIONS crystal
K 0.1246 0.1246 0.1246
K 0.1246 0.1246 0.6261
K 0.1246 0.6261 0.1246
K 0.6261 0.1246 0.1246
Zn 0.5000 0.5000 0.5000
Cr 0.7500 0.7500 0.7500
! Crystal system ... cubic
! SG ... F-43m (216)
! Energy of formation ... 0.6939 eV per atom

! K2ZnCr | the Alexandria database | meta-GGA SCAN | PBEsol geometry; values from VASP
&SYSTEM
  ibrav = 0, nat = 16, ntyp = 3
/
ATOMIC_SPECIES
K 39.10 K.upf
Zn 65.41 Zn.upf
Cr 52.00 Cr.upf
CELL_PARAMETERS angstrom
7.7900 0.0000 0.0000
0.0000 7.7900 0.0000
0.0000 0.0000 7.7900
ATOMIC_POSITIONS crystal
K 0.0000 0.0000 0.0000
K 0.0000 0.5000 0.5000
K 0.2500 0.2500 0.2500
K 0.2500 0.7500 0.7500
K 0.5000 0.0000 0.5000
K 0.5000 0.5000 0.0000
K 0.7500 0.2500 0.7500
K 0.7500 0.7500 0.2500
Zn 0.0000 0.0000 0.5000
Zn 0.0000 0.5000 0.0000
Zn 0.5000 0.0000 0.0000
Zn 0.5000 0.5000 0.5000
Cr 0.2500 0.2500 0.7500
Cr 0.2500 0.7500 0.2500
Cr 0.7500 0.2500 0.2500
Cr 0.7500 0.7500 0.7500
! Crystal system ... cubic
! SG ... F-43m (216)
! Energy of formation ... 0.5455 eV per atom

! KZn2Cr | the Alexandria database | meta-GGA SCAN | PBEsol geometry; values from VASP
&SYSTEM
  ibrav = 0, nat = 4, ntyp = 3
/
ATOMIC_SPECIES
K 39.10 K.upf
Zn 65.41 Zn.upf
Cr 52.00 Cr.upf
CELL_PARAMETERS angstrom
3.0318 0.0000 0.0000
0.0000 3.5089 0.0000
0.0000 0.0000 8.0393
ATOMIC_POSITIONS crystal
K 0.0000 0.0000 0.0000
Zn 0.0000 0.0000 0.4913
Zn 0.5000 0.5000 0.3173
Cr 0.5000 0.5000 0.6502
! Crystal system ... orthorhombic
! SG ... Pmm2 (25)
! Energy of formation ... 0.3566 eV per atom

What is the energy of formation in the sixth record? 0.4791 eV per atom

Among the records above, which one has the highest energy of formation? K2CrW

Which formula does entry 10 have? K4ZnCr